Computed, not measured: an optimized crystal structure of SrIn2Pb at the PBE level of DFT.

Results
The calculation puts the calculated total energy at -23.95 eV per cell.

a = 4.7676 Å, b = 4.8322 Å, c = 10.7327 Å
α = 90.00°, β = 90.00°, γ = 90.00°
With the nearest neighbours (Å) after each atom.
Space group Imm2 (No. 44)
One atom of each set of equivalent atoms:
Sr 0.0000 0.0000 0.0000  8 In 3.44-3.67, 4 Pb 3.50-3.70
In 0.0000 0.0000 0.4466  2 In 3.24, 2 Pb 3.31, 4 Sr 3.44
In 0.0000 0.5000 0.7426  2 In 3.24, 4 Pb 3.39, 2 Sr 3.53
Pb 0.0000 0.5000 0.2363  6 In 3.31-3.39, 4 Sr 3.50-3.70

Computed, not measured: an optimized crystal structure of SrIn7Pb12 at the PBE level of DFT.

Results
The calculation puts the calculated total energy at -196.68 eV per cell.

a = 13.6520 Å, b = 13.6520 Å, c = 11.3794 Å
α = 90.00°, β = 90.00°, γ = 120.00°
With the nearest neighbours (Å) after each atom.
Space group R-3 (No. 148, hexagonal axes)
One atom of each set of equivalent atoms:
Sr 0.0000 0.0000 0.0000  6 In 3.44, 6 Pb 3.57
In 0.0000 0.0000 0.5000  12 Pb 3.39-3.53
In 0.0454 0.5223 0.6245  1 In 3.03, 2 Pb 3.28
Pb 0.0002 0.2587 0.5002  5 In 3.28-3.63, 6 Pb 3.42-3.53
Pb 0.0845 0.1693 0.2601  2 In 3.39-3.72, 6 Pb 3.42-3.49, 1 Sr 3.57

Computed, not measured: an optimized crystal structure of Sr2InPb at the PBE level of DFT.

Results
The calculation puts the calculated total energy at -22.76 eV per cell.

a = 13.0361 Å, b = 3.7368 Å, c = 6.0171 Å
α = 90.00°, β = 108.70°, γ = 90.00°
With the nearest neighbours (Å) after each atom.
Space group Cm (No. 8)
One atom of each set of equivalent atoms:
Sr 0.0000 0.0000 0.0000  3 In 3.55-3.66, 4 Pb 3.57-3.61, 3 Sr 3.74-3.84
Sr 0.2112 0.0000 0.6149  3 Pb 3.52-3.71, 4 In 3.53-3.63, 3 Sr 3.74-3.84
In 0.2543 0.5000 0.1344  2 Pb 3.30, 7 Sr 3.53-3.66
Pb 0.4522 0.0000 0.4710  2 In 3.30, 5 Sr 3.52-3.61

Short version: N(E_F) = 4.4; 27.1; 4.5 states/eV/cell, in the order given.